First-principles (PBE) data for UMn2Re after structural relaxation, as listed in Alexandria via LeMat-Bulk.

The structure in POSCAR format:
```
UMn2Re
1.0
2.7688 0.0000 0.0000
1.3844 2.3978 0.0000
1.3844 0.7993 9.0365
Re Mn U
1 2 1
Direct
0.0000 0.0000 0.0000
0.7423 0.7423 0.7731
0.2577 0.2577 0.2269
0.5000 0.5000 0.5000
```

* relative energy among the computed polymorphs: 111 meV per atom

First-principles (PBE) data for SrMo2Pt after structural relaxation, as listed in Alexandria via LeMat-Bulk.

The structure in POSCAR format:
```
SrMo2Pt
1.0
2.7925 0.0581 0.0000
-0.0561 2.7925 0.0000
0.0000 0.0000 9.6574
Mo Pt Sr
2 1 1
Direct
0.0000 0.0000 0.0400
0.0000 0.0000 0.4600
0.5000 0.5000 0.2500
0.5000 0.5000 0.7500
```

* relative energy among the computed polymorphs: 365 meV per atom

First-principles (PBE) data for Sm3BiTe2 after structural relaxation, as listed in Alexandria via LeMat-Bulk.

The structure in POSCAR format:
```
Sm3BiTe2
1.0
-1.5063 2.8882 -5.4358
3.9965 -3.7967 -3.1248
-9.0275 -4.3649 0.1824
Sm Bi Te
6 2 4
Direct
0.5000 0.3329 0.6658
0.0000 0.8336 0.6672
0.5000 0.6671 0.3342
0.0000 0.1664 0.3328
0.0000 0.5000 0.0000
0.5000 0.0000 0.0000
0.0000 0.3334 0.6668
0.0000 0.6666 0.3332
0.5000 0.8337 0.6673
0.5000 0.1663 0.3327
0.0000 0.0000 0.0000
0.5000 0.5000 0.0000
```

* relative energy among the computed polymorphs: 0 meV per atom
* formation energy from raw total energies: -1.25 eV/atom

First-principles (PBE) data for LiHSeBrF after structural relaxation, as listed in Alexandria via LeMat-Bulk.

The structure in POSCAR format:
```
LiHSeBrF
1.0
-3.9249 -1.1345 -1.9609
3.0676 -4.1852 -0.2794
-1.0459 -0.8074 5.7088
Li H Se Br F
1 1 1 1 1
Direct
0.4213 0.2534 0.1464
0.2156 0.2850 0.6780
0.9508 0.1546 0.3472
0.8577 0.6873 0.4316
0.3575 0.3480 0.8445
```

* relative energy among the computed polymorphs: 26 meV per atom

First-principles (PBE) data for Mg4ZnO5 after structural relaxation, as listed in Alexandria via LeMat-Bulk.

The structure in POSCAR format:
```
Mg4ZnO5
1.0
-1.5082 0.9282 -2.4490
-1.6768 -4.3025 -2.4628
-6.4565 -0.6646 1.8595
Mg Zn O
4 1 5
Direct
0.5982 0.2015 0.6021
0.2020 0.3954 0.2005
0.7980 0.6046 0.7995
0.4018 0.7985 0.3979
0.0000 0.0000 0.0000
0.2016 0.9004 0.6964
0.7984 0.0996 0.3036
0.3969 0.3087 0.8974
0.0000 0.5000 0.5000
0.6031 0.6913 0.1026
```

* formation energy from raw total energies: -2.43 eV/atom

First-principles (PBE) data for SmErIn after structural relaxation, as listed in Alexandria via LeMat-Bulk.

The structure in POSCAR format:
```
SmErIn
1.0
-2.3232 -0.0393 -5.2853
3.6356 0.3721 -4.7573
-0.6824 -2.8025 -2.0690
Sm Er In
1 1 1
Direct
0.2256 0.7868 0.2516
0.5352 0.1679 0.2513
0.8879 0.4623 0.2515
```

* relative energy among the computed polymorphs: 39 meV per atom

First-principles (PBE) data for SbOs2Pt after structural relaxation, as listed in Alexandria via LeMat-Bulk.

The structure in POSCAR format:
```
SbOs2Pt
1.0
3.9170 0.0000 0.0000
0.0000 4.0456 0.0000
0.0000 0.0000 4.0456
Os Pt Sb
2 1 1
Direct
0.0000 0.0000 0.0000
0.0000 0.5000 0.5000
0.5000 0.5000 0.0000
0.5000 0.0000 0.5000
```

* formation energy from raw total energies: 0.44 eV/atom

First-principles (PBE) data for Tb3Dy4Ru4 after structural relaxation, as listed in Alexandria via LeMat-Bulk.

The structure in POSCAR format:
```
Tb3Dy4Ru4
1.0
-2.7713 1.9091 -1.1180
-3.1293 -7.1018 -4.3698
-1.2411 0.3795 9.3483
Tb Dy Ru
3 4 4
Direct
0.0977 0.0977 0.1954
0.9023 0.9023 0.8046
0.0000 0.5000 0.0000
0.3351 0.1446 0.6702
0.6649 0.4744 0.3298
0.6649 0.8554 0.3298
0.3351 0.5256 0.6702
0.2575 0.7575 0.5149
0.7425 0.2425 0.4851
0.5000 0.7744 0.0000
0.5000 0.2256 0.0000
```

* final energy: -6.609 eV/atom

First-principles (PBE) data for Y2BiS after structural relaxation, as listed in Alexandria via LeMat-Bulk.

The structure in POSCAR format:
```
Y2BiS
1.0
-2.7421 1.5141 -2.7412
-1.3301 -2.1865 3.2827
1.7943 5.6090 4.4588
Y Bi S
2 1 1
Direct
0.5233 0.2614 0.7847
0.4767 0.7386 0.2153
0.0000 0.5000 0.5000
0.0000 0.0000 0.0000
```

* relative energy among the computed polymorphs: 0 meV per atom
* formation energy from raw total energies: -1.38 eV/atom

First-principles (PBE) data for AlHg2MoAu after structural relaxation, as listed in Alexandria via LeMat-Bulk.

The structure in POSCAR format:
```
AlHg2MoAu
1.0
-5.1000 0.0210 0.2514
0.1588 -3.3498 3.5012
0.1889 3.6913 3.5231
Mo Au Hg Al
1 1 2 1
Direct
0.5000 0.5000 0.5000
0.0000 0.5000 0.0000
0.0000 0.0000 0.5000
0.5000 0.0000 0.0000
0.0000 0.0000 0.0000
```

* final energy: -2.725 eV/atom

First-principles (PBE) data for CeReB after structural relaxation, as listed in Alexandria via LeMat-Bulk.

The structure in POSCAR format:
```
CeReB
1.0
-2.2612 -0.7664 1.9087
2.0163 -1.3863 1.8321
0.7854 5.3425 0.6280
Re B Ce
1 1 1
Direct
0.2765 0.2765 0.5530
0.7168 0.7168 0.4336
0.0067 0.0067 0.0134
```

* relative energy among the computed polymorphs: 0 meV per atom

First-principles (PBE) data for La2Sm2Sn2H after structural relaxation, as listed in Alexandria via LeMat-Bulk.

The structure in POSCAR format:
```
La2Sm2Sn2H
1.0
-3.3867 -0.5566 3.2652
-2.6485 -2.3493 -3.1475
6.7115 -6.1159 2.4822
La Sm Sn H
2 2 2 1
Direct
0.1788 0.1788 0.3577
0.8212 0.8212 0.6423
0.0000 0.5000 0.0000
0.5000 0.0000 0.0000
0.3682 0.3682 0.7364
0.6318 0.6318 0.2636
0.0000 0.0000 0.0000
```

* final energy: -5.028 eV/atom

First-principles (PBE) data for Sc2HgPd after structural relaxation, as listed in Alexandria via LeMat-Bulk.

The structure in POSCAR format:
```
Sc2HgPd
1.0
3.3660 0.0000 0.0000
0.0000 3.3660 0.0000
0.0000 0.0000 7.0616
Sc Hg Pd
2 1 1
Direct
0.0000 0.0000 0.7730
0.0000 0.0000 0.2270
0.5000 0.5000 0.5000
0.5000 0.5000 0.0000
```

* final energy: -5.194 eV/atom

First-principles (PBE) data for AlZnAu after structural relaxation, as listed in Alexandria via LeMat-Bulk.

The structure in POSCAR format:
```
AlZnAu
1.0
-1.6645 2.5133 3.1313
-0.1204 -4.3271 0.3924
2.8595 0.0543 1.4764
Zn Au Al
1 1 1
Direct
0.3333 0.6667 0.6140
0.6667 0.3333 0.2860
0.0000 0.0000 0.1000
```

* final energy: -2.843 eV/atom

First-principles (PBE) data for La2Se after structural relaxation, as listed in Alexandria via LeMat-Bulk.

The structure in POSCAR format:
```
La2Se
1.0
1.9825 7.1167 -0.3050
-1.9825 7.1167 -0.3050
0.0000 0.2651 6.2441
La Se
4 2
Direct
0.9374 0.9374 0.9719
0.3404 0.3404 0.4722
0.6389 0.6389 0.7222
0.6389 0.6389 0.2222
0.0045 0.0045 0.4722
0.2733 0.2733 0.9726
```

* formation energy from raw total energies: -1.21 eV/atom

First-principles (PBE) data for KGeAs2 after structural relaxation, as listed in Alexandria via LeMat-Bulk.

The structure in POSCAR format:
```
KGeAs2
1.0
-1.5860 4.8271 3.0207
-1.0393 -3.7474 5.4427
11.2821 1.6484 3.2893
K Ge As
4 4 8
Direct
0.0178 0.8803 0.3640
0.5178 0.1197 0.6360
0.5178 0.6197 0.8640
0.0178 0.3803 0.1360
0.0358 0.9377 0.8655
0.5358 0.0623 0.1345
0.5358 0.5623 0.3655
0.0358 0.4377 0.6345
0.0183 0.3116 0.8512
0.5183 0.6884 0.1488
0.5183 0.1884 0.3512
0.0183 0.8116 0.6488
0.6779 0.1257 0.9113
0.1779 0.8743 0.0887
0.1779 0.3743 0.4113
0.6779 0.6257 0.5887
```

* final energy: -3.926 eV/atom

First-principles (PBE) data for AcZn3Pd after structural relaxation, as listed in Alexandria via LeMat-Bulk.

The structure in POSCAR format:
```
AcZn3Pd
1.0
-5.8570 -1.6621 -2.2303
2.3241 -5.2486 -2.1920
-2.1839 0.1520 5.6218
Ac Zn Pd
2 6 2
Direct
0.2500 0.5301 0.7650
0.7500 0.4699 0.2350
0.5000 0.0000 0.2818
0.5000 0.0000 0.7182
0.0000 0.0000 0.2818
0.0000 0.0000 0.7182
0.2500 0.2210 0.1105
0.7500 0.7790 0.8895
0.2500 0.7018 0.3509
0.7500 0.2982 0.6491
```

* relative energy among the computed polymorphs: 0 meV per atom

First-principles (PBE) data for NaLuPd2 after structural relaxation, as listed in Alexandria via LeMat-Bulk.

The structure in POSCAR format:
```
NaLuPd2
1.0
3.3881 0.0000 0.0000
0.0000 3.3881 0.0000
0.0000 0.0000 7.1581
Na Lu Pd
1 1 2
Direct
0.5000 0.5000 0.5000
0.5000 0.5000 0.0000
0.0000 0.0000 0.7796
0.0000 0.0000 0.2204
```

* relative energy among the computed polymorphs: 0 meV per atom

First-principles (PBE) data for Sm6Ni2IrCl3 after structural relaxation, as listed in Alexandria via LeMat-Bulk.

The structure in POSCAR format:
```
Sm6Ni2IrCl3
1.0
4.0321 0.0000 0.0000
0.0000 8.7600 -0.2020
-2.0160 -3.0629 8.8862
Sm Ni Ir Cl
6 2 1 3
Direct
0.3422 0.8806 0.6844
0.6754 0.5600 0.3509
0.6578 0.1194 0.3156
0.0123 0.2277 0.0247
0.9877 0.7723 0.9753
0.3246 0.4400 0.6491
0.8302 0.6569 0.6604
0.1698 0.3431 0.3396
0.5000 0.0000 0.0000
0.5000 0.5000 0.0000
0.8325 0.1691 0.6649
0.1675 0.8309 0.3351
```

* formation energy from raw total energies: -1.01 eV/atom

First-principles (PBE) data for Mg5GaAu after structural relaxation, as listed in Alexandria via LeMat-Bulk.

The structure in POSCAR format:
```
Mg5GaAu
1.0
7.8787 -0.3600 1.4717
2.1581 7.5860 1.4717
4.7988 3.4548 6.4579
Mg Ga Au
10 2 2
Direct
0.6906 0.8940 0.0035
0.2225 0.5307 0.6088
0.8940 0.6906 0.5035
0.8302 0.1698 0.2500
0.4693 0.7775 0.8912
0.5307 0.2225 0.1088
0.1698 0.8302 0.7500
0.1060 0.3094 0.4965
0.7775 0.4693 0.3912
0.3094 0.1060 0.9965
0.5589 0.4411 0.2500
0.4411 0.5589 0.7500
0.0000 0.0000 0.0000
0.0000 0.0000 0.5000
```

* final energy: -2.171 eV/atom

First-principles (PBE) data for YHfNb3 after structural relaxation, as listed in Alexandria via LeMat-Bulk.

The structure in POSCAR format:
```
YHfNb3
1.0
4.9917 0.0000 0.0000
0.0000 4.9917 0.0000
0.0000 0.0000 4.9917
Y Nb Hf
1 3 1
Direct
0.5000 0.5000 0.5000
0.0000 0.5000 0.0000
0.0000 0.0000 0.5000
0.5000 0.0000 0.0000
0.0000 0.0000 0.0000
```

* relative energy among the computed polymorphs: 0 meV per atom

First-principles (PBE) data for Ca2CdTe2 after structural relaxation, as listed in Alexandria via LeMat-Bulk.

The structure in POSCAR format:
```
Ca2CdTe2
1.0
5.6259 0.0000 0.0000
0.0000 5.6259 0.0000
2.8130 2.8130 6.5800
Ca Te Cd
2 2 1
Direct
0.7500 0.2500 0.5000
0.2500 0.7500 0.5000
0.3456 0.3456 0.3087
0.6544 0.6544 0.6913
0.0000 0.0000 0.0000
```

* relative energy among the computed polymorphs: 113 meV per atom
* formation energy from raw total energies: -0.95 eV/atom

First-principles (PBE) data for Dy8SnBi5 after structural relaxation, as listed in Alexandria via LeMat-Bulk.

The structure in POSCAR format:
```
Dy8SnBi5
1.0
7.6734 0.0000 -2.6538
-3.8214 6.6222 -2.7327
-0.0307 0.0000 8.1193
Dy Sn Bi
8 1 5
Direct
0.1244 0.7440 0.0148
0.9852 0.1097 0.7293
0.7790 0.2543 0.3820
0.6180 0.3970 0.8723
0.4753 0.6030 0.2210
0.6196 0.8903 0.8756
0.2707 0.2560 0.3804
0.1277 0.7457 0.5247
0.2500 0.5000 0.7500
0.9944 0.3718 0.1209
0.8791 0.8735 0.2508
0.7492 0.6282 0.6227
0.5000 0.0000 0.5000
0.3773 0.1265 0.0056
```

* final energy: -5.031 eV/atom

First-principles (PBE) data for Ba2SrSi6 after structural relaxation, as listed in Alexandria via LeMat-Bulk.

The structure in POSCAR format:
```
Ba2SrSi6
1.0
-3.7803 2.4932 2.0356
-1.2526 -5.5128 4.4259
4.5085 5.2301 1.9669
Ba Sr Si
2 1 6
Direct
0.0000 0.3333 0.6667
0.0000 0.6667 0.3333
0.0000 0.0000 0.0000
0.5000 0.3316 0.3316
0.5000 0.6684 0.6684
0.5000 0.0000 0.6684
0.5000 0.6684 0.0000
0.5000 0.3316 0.0000
0.5000 0.0000 0.3316
```

* formation energy from raw total energies: -0.31 eV/atom

First-principles (PBE) data for Rb3Tb3DySe8 after structural relaxation, as listed in Alexandria via LeMat-Bulk.

The structure in POSCAR format:
```
Rb3Tb3DySe8
1.0
8.3710 0.0002 -0.0002
-4.1853 7.2565 -0.0335
-0.0003 -4.8093 8.2068
Rb Tb Dy Se
3 3 1 8
Direct
0.0000 0.0000 0.0000
0.0000 0.5000 0.0000
0.5000 0.5000 0.0000
0.5000 0.0000 0.5000
0.5000 0.5000 0.5000
0.0000 0.5000 0.5000
0.0000 0.0000 0.5000
0.2678 0.5356 0.3037
0.7322 0.4644 0.6963
0.7690 0.5379 0.3065
0.2310 0.4621 0.6935
0.7690 0.0372 0.3065
0.2310 0.9628 0.6935
0.2682 0.0372 0.3065
0.7318 0.9628 0.6935
```

* formation energy from raw total energies: -1.67 eV/atom

Calculated volume values (in Å³ per atom) by entry order: 15.0; 18.8; 31.8; 25.5; 9.7; 28.3; 16.0; 23.3; 26.2; 25.3; 15.5; 28.2; 20.0; 17.6; 29.4; 29.3; 20.9; 20.5; 25.9; 21.8; 24.9; 41.7; 29.4; 24.6; 33.1.
Total moment values (in μB/f.u.) by entry order: 2.78; 0.00; 0.00; 0.00; 0.00; 0.16; 0.00; 0.00; 0.00; 4.44; 0.00; 0.80; 0.00; 0.00; 0.00; 0.00; 0.00; 0.00; 0.00; 0.00; 0.00; 0.00; 0.01; 0.00; 0.00.